# ScMn, optimized geometry, DFT GGA-PBE
# - D(E_F) (states/eV per cell) = 3.75
# - mass density (kg/m3) = 5161
# - E (eV for the cell shown) = -30.74
# - formation enthalpy at 0 K (meV per atom) = 64
data_ScMn
_cell_length_a 5.379
_cell_length_b 5.379
_cell_length_c 5.379
_cell_angle_alpha 146.52
_cell_angle_beta 130.88
_cell_angle_gamma 60.75
_symmetry_space_group_name_H-M 'P 1'
_symmetry_Int_Tables_number 1
loop_
_symmetry_equiv_pos_as_xyz
'x,y,z'
loop_
_atom_site_label
_atom_site_type_symbol
_atom_site_fract_x
_atom_site_fract_y
_atom_site_fract_z
Mn1 Mn 0.591 0.841 0.250
Sc1 Sc 0.140 0.390 0.250
Mn2 Mn 0.409 0.159 0.750
Sc2 Sc 0.860 0.610 0.750